3
Lattice="-1.3085 2.9870 -3.2526 -3.5296 2.8542 0.7801 0.7646 4.5061 0.5695" Properties=species:S:1:pos:R:3 comment="ScCuBr PBE optimized geometry" dft_energy_ev_per_atom=-4.15 formation_energy_uncorrected_kj_per_mol_atoms=-10.95 magnetic_moment_mub_per_fu=0.91 volume_a3_per_atom=23.029 pbc="T T T"
Br 0.0000 0.0000 0.0000
Cu -2.0367 5.1736 -0.9515
Sc -3.0551 7.7604 -1.4273



12
Lattice="6.2004 -0.6418 0.0000 -2.4602 8.6480 0.0000 -1.8701 -4.0031 6.9464" Properties=species:S:1:pos:R:3 comment="PrDy4Al PBE optimized geometry" ef_ev_per_atom=-0.0427 dft_energy_ev_per_atom=-4.53 magnetic_moment_mub_per_fu=0.00 volume_a3_per_atom=30.126 pbc="T T T"
Pr 0.3200 4.1635 1.3593
Pr 1.5501 -0.1605 5.5871
Dy -1.6280 -1.6974 5.3888
Dy 1.7919 3.1634 4.4175
Dy -1.4722 2.0183 5.3888
Dy -1.1518 5.1637 4.4175
Dy 3.0220 -1.1606 2.5290
Dy 3.3424 1.9848 1.5576
Dy 0.0783 0.8397 2.5290
Dy 3.4981 5.7005 1.5576
Al -2.7802 4.4844 6.9377
Al 4.6503 -0.4813 0.0088



4
Lattice="5.0686 0.0000 0.0000 2.5343 4.3895 0.0000 2.5343 1.4632 4.1385" Properties=species:S:1:pos:R:3 comment="SmTlCuHg PBE optimized geometry" ef_ev_per_atom=-0.1767 dft_energy_ev_per_atom=-3.05 magnetic_moment_mub_per_fu=0.00 volume_a3_per_atom=23.019 pbc="T T T"
Tl 0.0000 0.0000 0.0000
Cu 2.5343 1.4632 1.0346
Hg 7.6029 4.3895 3.1039
Sm 5.0686 2.9263 2.0692



4
Lattice="-5.0179 -3.4881 -1.2375 0.5097 -4.9411 -3.7687 2.0931 2.6848 5.2237" Properties=species:S:1:pos:R:3 comment="SiTe2As PBE optimized geometry" dft_energy_ev_per_atom=-3.73 formation_energy_uncorrected_kj_per_mol_atoms=34.18 magnetic_moment_mub_per_fu=0.00 volume_a3_per_atom=25.263 pbc="T T T"
As -2.6419 -4.9397 -2.9337
Si -2.5864 -2.5032 0.7450
Te -4.2336 -7.9157 -4.7012
Te 0.2845 -3.0295 -0.4017



4
Lattice="-1.5502 3.8559 -2.4643 -4.3685 -0.0479 -2.0634 -3.5485 2.7459 1.7923" Properties=species:S:1:pos:R:3 comment="HfThTcOs PBE optimized geometry" ef_ev_per_atom=-0.2616 dft_energy_ev_per_atom=-10.00 magnetic_moment_mub_per_fu=0.00 volume_a3_per_atom=19.938 pbc="T T T"
Hf 0.0000 0.0000 0.0000
Os -2.3668 1.6385 -0.6838
Tc -7.1004 4.9154 -2.0515
Th -4.7336 3.2769 -1.3677



4
Lattice="-4.1981 2.3646 -0.7175 -4.2408 -0.4712 -2.3503 -7.0916 -2.0696 3.7799" Properties=species:S:1:pos:R:3 comment="Cr2InBr PBE optimized geometry" dft_energy_ev_per_atom=-5.50 formation_energy_uncorrected_kj_per_mol_atoms=39.84 magnetic_moment_mub_per_fu=8.06 volume_a3_per_atom=25.328 pbc="T T T"
Br -3.8826 -0.0441 0.1780
Cr -14.4931 -0.1636 0.6630
Cr -8.8027 -0.1008 0.4052
In -11.6479 -0.1322 0.5341



5
Lattice="-2.7222 1.4999 3.5779 -3.4126 0.5791 -2.8392 -1.4140 -4.4538 0.7912" Properties=species:S:1:pos:R:3 comment="SrTiBIr2 PBE optimized geometry" ef_ev_per_atom=0.6013 dft_energy_ev_per_atom=-6.19 magnetic_moment_mub_per_fu=0.00 volume_a3_per_atom=20.112 pbc="T T T"
Sr -3.7744 -1.1874 0.7649
B -1.7063 0.2896 -1.4196
Ir -0.7070 -2.2269 0.3956
Ir -1.3611 0.7499 1.7890
Ti 0.0000 0.0000 0.0000



4
Lattice="-0.6737 2.0321 -2.3951 -4.1867 -1.7854 -0.3371 -1.5443 3.0508 3.0228" Properties=species:S:1:pos:R:3 comment="LuTc2Mo PBE optimized geometry" ef_ev_per_atom=0.0225 dft_energy_ev_per_atom=-9.00 magnetic_moment_mub_per_fu=0.00 volume_a3_per_atom=16.729 pbc="T T T"
Mo -3.2024 1.6488 0.1453
Lu -0.3369 1.0161 -1.1976
Tc -0.7722 1.5254 1.5114
Tc -2.0934 -0.8927 -0.1685



5
Lattice="-3.0716 -4.4309 -2.0684 4.8476 -2.4385 -1.9750 0.6420 -2.7869 5.0167" Properties=species:S:1:pos:R:3 comment="TlTe3Br PBE optimized geometry" dft_energy_ev_per_atom=-2.04 formation_energy_uncorrected_kj_per_mol_atoms=63.01 magnetic_moment_mub_per_fu=0.00 volume_a3_per_atom=38.512 pbc="T T T"
Tl 0.0000 0.0000 0.0000
Te 2.4238 -1.2193 -0.9875
Te 0.3210 -1.3934 2.5083
Te -1.5358 -2.2154 -1.0342
Br 1.2090 -4.8281 0.4867



4
Lattice="-0.6675 -1.1982 -2.3874 2.5938 -3.2486 0.9052 -3.7670 -1.1321 1.6214" Properties=species:S:1:pos:R:3 comment="TaB2W PBE optimized geometry" ef_ev_per_atom=-0.0179 dft_energy_ev_per_atom=-9.56 magnetic_moment_mub_per_fu=0.00 volume_a3_per_atom=12.046 pbc="T T T"
Ta -3.7370 -1.1421 1.6180
B -1.9872 -1.6419 -0.2081
B -2.3770 -3.0974 0.6314
W -0.2393 -3.0161 -0.0070



15
Lattice="6.0780 0.0000 0.0000 -3.0390 5.2637 0.0000 0.0000 0.0000 7.5740" Properties=species:S:1:pos:R:3 comment="Rb3Mg2SnF9 PBE optimized geometry" dft_energy_ev_per_atom=-4.78 formation_energy_uncorrected_kj_per_mol_atoms=-287.73 magnetic_moment_mub_per_fu=0.00 volume_a3_per_atom=16.154 pbc="T T T"
Rb 0.0000 3.5091 5.1051
Rb 0.0000 0.0000 0.0000
Rb 3.0390 1.7546 2.4689
Mg 0.0000 3.5091 1.1243
Mg 3.0390 1.7546 6.4498
Sn 0.0000 0.0000 3.7870
F 4.4453 0.9426 5.2406
F 3.0390 3.3784 5.2406
F 1.6327 0.9426 5.2406
F 1.4063 4.3211 2.3334
F 0.0000 1.8852 2.3334
F -1.4063 4.3211 2.3334
F 3.0390 0.0000 0.0000
F -1.5195 2.6318 0.0000
F 1.5195 2.6318 0.0000



5
Lattice="5.9365 0.0000 0.0000 0.0000 5.9365 0.0000 0.0000 0.0000 3.6811" Properties=species:S:1:pos:R:3 comment="AlTe2BrN PBE optimized geometry" dft_energy_ev_per_atom=-2.68 formation_energy_uncorrected_kj_per_mol_atoms=127.94 magnetic_moment_mub_per_fu=0.00 volume_a3_per_atom=25.946 pbc="T T T"
Te 0.0000 2.9683 0.0000
Te 2.9683 0.0000 0.0000
Al 2.9683 2.9683 1.8406
Br 0.0000 0.0000 0.0000
N 0.0000 0.0000 1.8406



5
Lattice="5.7751 0.0000 0.0000 0.0000 5.7751 0.0000 0.0000 0.0000 4.2302" Properties=species:S:1:pos:R:3 comment="Ba2LiIN PBE optimized geometry" dft_energy_ev_per_atom=-3.79 formation_energy_uncorrected_kj_per_mol_atoms=-64.35 magnetic_moment_mub_per_fu=0.00 volume_a3_per_atom=28.217 pbc="T T T"
I 2.8876 2.8876 2.1151
Li 0.0000 0.0000 2.1151
Ba 0.0000 2.8876 0.0000
Ba 2.8876 0.0000 0.0000
N 0.0000 0.0000 0.0000



12
Lattice="-2.3919 1.9621 -3.4166 6.2077 -2.2809 -2.5468 -6.8543 -5.3233 1.7414" Properties=species:S:1:pos:R:3 comment="ThSnRh4 PBE optimized geometry" ef_ev_per_atom=-0.5348 dft_energy_ev_per_atom=-7.34 magnetic_moment_mub_per_fu=0.00 volume_a3_per_atom=18.441 pbc="T T T"
Th -2.3115 -0.8403 -0.4188
Th -6.9346 -2.5209 -1.2563
Sn 1.9079 -0.1594 -2.9817
Sn -0.3233 -3.8021 -0.4027
Rh -0.7433 0.1769 -4.0415
Rh -0.0640 -2.1763 -2.7595
Rh -2.2952 -5.8190 -0.1805
Rh -2.9744 -3.4658 -1.4625
Rh 1.6336 -4.3383 -2.0805
Rh -6.9032 -4.9467 0.4376
Rh -4.6721 -1.3039 -2.1415
Rh 3.8648 -0.6955 -4.6596



7
Lattice="5.5986 0.0000 0.0000 0.0000 5.5986 0.0000 -2.7993 -2.7993 8.0748" Properties=species:S:1:pos:R:3 comment="Ca2TlHg4 PBE optimized geometry" ef_ev_per_atom=-0.0361 dft_energy_ev_per_atom=-1.12 magnetic_moment_mub_per_fu=0.00 volume_a3_per_atom=36.157 pbc="T T T"
Ca 2.7993 2.7993 1.8783
Ca 0.0000 0.0000 6.1966
Tl 0.0000 0.0000 0.0000
Hg 2.7993 2.7993 4.9503
Hg 0.0000 0.0000 3.1245
Hg 0.0000 2.7993 0.0000
Hg 2.7993 0.0000 0.0000



8
Lattice="-5.4380 -2.0348 -0.3719 1.5405 -4.6821 3.0912 -4.2017 1.1964 9.3813" Properties=species:S:1:pos:R:3 comment="CsLi2Al PBE optimized geometry" ef_ev_per_atom=0.3281 dft_energy_ev_per_atom=-1.78 magnetic_moment_mub_per_fu=0.00 volume_a3_per_atom=40.180 pbc="T T T"
Cs 0.0000 0.0000 0.0000
Cs -5.7942 -2.0984 5.1845
Al -1.9488 -3.3584 1.3596
Al -2.3050 -3.4220 6.9161
Li -2.8958 -1.0487 2.5924
Li -2.1282 -3.3907 4.1378
Li -4.2274 -2.7932 8.8293
Li -6.9471 -3.8082 8.6418